# Ac4PNCl2

A relaxed Ac4PNCl2 crystal (PBE-GGA, the Alexandria database).

Cell: 4.1291 7.3439 7.6977 Å, 107.76 90.00 90.00°
Positions (direct):
N 0.5000 0.5000 0.0000
Cl 0.5000 0.0000 0.5000
Cl 0.0000 0.5000 0.5000
Ac 0.0000 0.2882 0.7986
Ac 0.5000 0.7331 0.7887
Ac 0.5000 0.2669 0.2113
Ac 0.0000 0.7118 0.2014
P 0.0000 0.0000 0.0000

The calculation puts the uncorrected energy at -45.3 eV/f.u. Its crystal system is monoclinic. The value obtained for the spin magnetization is 0.00 μB per atom. The calculation puts the density at 7.65 g cm⁻³. The value obtained for the formation energy from raw total energies is -1.434 eV per atom.


# Hf6SnSb2

A relaxed Hf6SnSb2 crystal (PBE-GGA, the Alexandria database).

Cell: 5.5541 8.0199 9.2126 Å, 90.00 91.81 90.00°
Positions (direct):
Hf 0.5772 0.1891 0.5653
Hf 0.8946 0.6589 0.5549
Hf 0.1054 0.3411 0.4451
Hf 0.3946 0.8411 0.0549
Hf 0.6047 0.4769 0.3105
Hf 0.0772 0.3109 0.0653
Hf 0.1047 0.0231 0.8105
Hf 0.3953 0.5231 0.6895
Hf 0.9228 0.6891 0.9347
Hf 0.8953 0.9769 0.1895
Hf 0.6054 0.1589 0.9451
Hf 0.4228 0.8109 0.4347
Sb 0.9123 0.3769 0.7565
Sb 0.0877 0.6231 0.2435
Sb 0.5877 0.8769 0.7435
Sb 0.4123 0.1231 0.2565
Sn 0.5000 0.5000 0.0000
Sn 0.0000 0.0000 0.5000

The calculation puts the uncorrected energy at -74.1 eV/f.u. Its crystal system is monoclinic. The value obtained for the spin magnetization is 0.00 μB per atom. The calculation puts the density at 11.60 g cm⁻³. The value obtained for the formation energy from raw total energies is -0.234 eV per atom.


# ZnReHI

A relaxed ZnReHI crystal (PBE-GGA, the Alexandria database).

Cell: 6.6541 3.1684 6.2201 Å, 90.00 94.77 90.00°
Positions (direct):
I 0.7959 0.0000 0.1555
I 0.7959 0.5000 0.6555
Re 0.4607 0.0000 0.6423
Re 0.4607 0.5000 0.1423
Zn 0.1891 0.5000 0.4365
Zn 0.1891 0.0000 0.9365
H 0.4403 0.5000 0.8329
H 0.4403 0.0000 0.3329

The calculation puts the uncorrected energy at -15.9 eV/f.u. Its crystal system is monoclinic. The value obtained for the spin magnetization is 0.00 μB per atom. The calculation puts the density at 9.65 g cm⁻³. The energy above the most stable polymorph in this dataset comes out at 205.9 meV per atom.


What did the third record say?
# ZnReHI

A relaxed ZnReHI crystal (PBE-GGA, the Alexandria database).

Cell: 6.6541 3.1684 6.2201 Å, 90.00 94.77 90.00°
Positions (direct):
I 0.7959 0.0000 0.1555
I 0.7959 0.5000 0.6555
Re 0.4607 0.0000 0.6423
Re 0.4607 0.5000 0.1423
Zn 0.1891 0.5000 0.4365
Zn 0.1891 0.0000 0.9365
H 0.4403 0.5000 0.8329
H 0.4403 0.0000 0.3329

The calculation puts the uncorrected energy at -15.9 eV/f.u. Its crystal system is monoclinic. The value obtained for the spin magnetization is 0.00 μB per atom. The calculation puts the density at 9.65 g cm⁻³. The energy above the most stable polymorph in this dataset comes out at 205.9 meV per atom.


Look up the uncorrected energy of the first one. -45.3 eV/f.u.